Entry 1:
An optimized crystal structure of TlAgSb4, computed with PBE.

a b c (Å): 6.311 6.311 6.311
angles (deg): 60.00 60.00 60.00
Fractional coordinates of all 6 atoms:
Tl (0.750, 0.750, 0.750)
Ag (0.000, 0.000, 0.000)
Sb (0.877, 0.374, 0.374)
Sb (0.374, 0.374, 0.877)
Sb (0.374, 0.877, 0.374)
Sb (0.374, 0.374, 0.374)

## Properties
The crystal system is cubic.

---

Entry 2:
An optimized crystal structure of Dy6NbO12, computed with PBE.

a b c (Å): 6.490 6.490 6.490
angles (deg): 98.76 98.76 98.76
Each line ends with the local moment (μB).
Fractional coordinates of all 19 atoms:
Dy (0.698, 0.861, 0.389)  0.00
Dy (0.611, 0.302, 0.139)  0.00
Dy (0.139, 0.611, 0.302)  0.00
Dy (0.302, 0.139, 0.611)  0.00
Dy (0.389, 0.698, 0.861)  0.00
Dy (0.861, 0.389, 0.698)  0.00
Nb (0.000, 0.000, 0.000)  -0.01
O (0.822, 0.563, 0.414)  0.15
O (0.414, 0.822, 0.563)  0.15
O (0.563, 0.414, 0.822)  0.15
O (0.178, 0.437, 0.586)  0.15
O (0.586, 0.178, 0.437)  0.15
O (0.437, 0.586, 0.178)  0.15
O (0.072, 0.957, 0.305)  0.01
O (0.043, 0.695, 0.928)  0.01
O (0.695, 0.928, 0.043)  0.01
O (0.928, 0.043, 0.695)  0.01
O (0.957, 0.305, 0.072)  0.01
O (0.305, 0.072, 0.957)  0.01

## Properties
The crystal system is trigonal.

---

| no. | formation energy (no corrections) (meV per atom) |
| --- | --- |
| 1 | 262 |
| 2 | -3325 |